Record 1
! Ca3NiN3 | the Alexandria database | PBE-GGA | optimized geometry; values from VASP
&SYSTEM
  ibrav = 0, nat = 14, ntyp = 3
/
ATOMIC_SPECIES
Ca 40.08 Ca.upf
Ni 58.69 Ni.upf
N 14.01 N.upf
CELL_PARAMETERS angstrom
7.139 0.000 0.000
-3.569 6.182 0.000
0.000 0.000 5.003
ATOMIC_POSITIONS angstrom
Ca -0.702 2.233 1.251
Ca -1.285 5.674 1.251
Ca 1.582 1.724 3.752
Ca 1.987 4.458 1.251
Ca 4.854 0.508 3.752
Ca 4.271 3.950 3.752
Ni 0.000 4.121 3.752
Ni 3.569 2.061 1.251
N -0.726 2.471 3.752
N -1.066 5.575 3.752
N 1.777 1.864 1.251
N 1.792 4.318 3.752
N 4.635 0.607 1.251
N 4.295 3.711 1.251
! **Formation energy without anion corrections**: -0.57 eV per atom

=====

Record 2
! NdY4In2 | the Alexandria database | PBE-GGA | optimized geometry; values from VASP
&SYSTEM
  ibrav = 0, nat = 14, ntyp = 3
/
ATOMIC_SPECIES
Nd 144.24 Nd.upf
Y 88.91 Y.upf
In 114.82 In.upf
CELL_PARAMETERS angstrom
8.382 0.000 0.000
0.000 6.635 0.000
-3.902 0.000 7.545
ATOMIC_POSITIONS angstrom
Nd 1.392 1.659 1.326
Nd 3.088 4.976 6.218
Y -2.286 0.028 5.514
Y -2.286 3.290 5.514
Y 0.972 1.659 4.623
Y 0.092 4.976 7.252
Y 4.389 1.659 0.293
Y 3.509 4.976 2.922
Y 6.767 3.345 2.030
Y 6.767 6.608 2.030
In 1.008 4.976 0.810
In 0.434 4.976 4.039
In 4.047 1.659 3.506
In 3.473 1.659 6.735
! **Excess energy over the best structure of this formula in the dataset**: 0.000 eV/atom
! **E_form**: -1.359 eV/f.u.

=====

Record 3
! ZrTcI | the Alexandria database | PBE-GGA | optimized geometry; values from VASP
&SYSTEM
  ibrav = 0, nat = 6, ntyp = 3
/
ATOMIC_SPECIES
Zr 91.22 Zr.upf
Tc 98.00 Tc.upf
I 126.90 I.upf
CELL_PARAMETERS angstrom
2.859 -3.173 0.000
2.859 3.173 0.000
-1.077 0.000 9.592
ATOMIC_POSITIONS angstrom
Zr 2.859 1.644 0.000
Zr 2.859 -1.644 0.000
Tc 0.154 0.000 7.735
Tc 2.561 0.000 7.761
I 1.456 0.000 2.311
I 4.275 0.000 5.507
! **Formation energy without anion corrections**: -0.03 eV per atom
! **Excess energy over the best structure of this formula in the dataset**: 0.390 eV/atom

=====

Record 4
! TlCdPt2 | the Alexandria database | PBE-GGA | optimized geometry; values from VASP
&SYSTEM
  ibrav = 0, nat = 4, ntyp = 3
/
ATOMIC_SPECIES
Tl 204.38 Tl.upf
Cd 112.41 Cd.upf
Pt 195.08 Pt.upf
CELL_PARAMETERS angstrom
1.559 0.900 9.021
-1.559 0.900 9.021
0.000 -1.800 9.021
ATOMIC_POSITIONS angstrom
Tl 0.000 0.000 0.000
Cd 0.000 0.000 13.531
Pt 0.000 0.000 6.702
Pt 0.000 0.000 20.360
! **E_form**: 0.007 eV/f.u.

=====

Record 5
! CeDyH | the Alexandria database | PBE-GGA | optimized geometry; values from VASP
&SYSTEM
  ibrav = 0, nat = 6, ntyp = 3
/
ATOMIC_SPECIES
Ce 140.12 Ce.upf
Dy 162.50 Dy.upf
H 1.01 H.upf
CELL_PARAMETERS angstrom
6.438 -1.741 0.000
6.438 1.741 0.000
-0.084 0.000 5.646
ATOMIC_POSITIONS angstrom
Ce 0.000 0.000 0.000
Ce 3.106 0.000 0.040
Dy 4.742 0.000 2.934
Dy 8.058 0.000 2.843
H 12.827 0.000 3.146
H 7.920 0.000 5.078
! **Excess energy over the best structure of this formula in the dataset**: 0.015 eV/atom

=====

Record 6
! Pa4GeSb2As | the Alexandria database | PBE-GGA | optimized geometry; values from VASP
&SYSTEM
  ibrav = 0, nat = 8, ntyp = 4
/
ATOMIC_SPECIES
Pa 231.04 Pa.upf
Ge 72.64 Ge.upf
Sb 121.76 Sb.upf
As 74.92 As.upf
CELL_PARAMETERS angstrom
7.276 0.000 0.000
0.000 4.207 0.000
-2.432 0.000 7.024
ATOMIC_POSITIONS angstrom
Pa 1.207 0.000 1.586
Pa -0.009 2.103 5.437
Pa 4.853 2.103 1.587
Pa 3.637 0.000 5.438
Ge 3.638 0.000 0.000
Sb -1.216 0.000 3.512
Sb 2.422 2.103 3.512
As 0.000 2.103 0.000
! **Formation energy without anion corrections**: -0.61 eV per atom

=====

Record 7
! BaSi2Sb | the Alexandria database | PBE-GGA | optimized geometry; values from VASP
&SYSTEM
  ibrav = 0, nat = 4, ntyp = 3
/
ATOMIC_SPECIES
Ba 137.33 Ba.upf
Si 28.09 Si.upf
Sb 121.76 Sb.upf
CELL_PARAMETERS angstrom
4.787 0.000 0.000
0.000 4.787 0.000
0.000 0.000 4.498
ATOMIC_POSITIONS angstrom
Ba 0.000 0.000 0.000
Si 0.000 2.394 2.249
Si 2.394 0.000 2.249
Sb 2.394 2.394 0.000
! **Formation energy without anion corrections**: 0.15 eV per atom

=====

Record 8
! Na2CuSiSe4 | the Alexandria database | PBE-GGA | optimized geometry; values from VASP
&SYSTEM
  ibrav = 0, nat = 8, ntyp = 4
/
ATOMIC_SPECIES
Na 22.99 Na.upf
Cu 63.55 Cu.upf
Si 28.09 Si.upf
Se 78.96 Se.upf
CELL_PARAMETERS angstrom
-3.756 3.756 3.227
3.756 -3.756 3.227
3.756 3.756 -3.227
ATOMIC_POSITIONS angstrom
Na 3.756 0.000 0.000
Na 0.000 3.756 0.000
Cu 0.000 0.000 0.000
Si 0.000 0.000 3.227
Se 2.503 2.503 -1.467
Se 1.253 1.253 1.760
Se 1.253 -1.253 4.694
Se -1.253 1.253 4.694
! **Formation energy without anion corrections**: -0.60 eV per atom

=====

Record 9
! TmSi2Ni2Rh | the Alexandria database | PBE-GGA | optimized geometry; values from VASP
&SYSTEM
  ibrav = 0, nat = 6, ntyp = 4
/
ATOMIC_SPECIES
Tm 168.93 Tm.upf
Si 28.09 Si.upf
Ni 58.69 Ni.upf
Rh 102.91 Rh.upf
CELL_PARAMETERS angstrom
4.464 0.000 0.000
0.000 4.464 0.000
0.000 0.000 5.216
ATOMIC_POSITIONS angstrom
Tm 0.000 0.000 0.000
Si 0.000 2.232 2.608
Si 2.232 0.000 2.608
Ni 2.232 2.232 1.322
Ni 2.232 2.232 3.894
Rh 0.000 0.000 2.608
! **Formation energy without anion corrections**: -0.18 eV per atom

=====

Record 10
! HfAlAs2Br | the Alexandria database | PBE-GGA | optimized geometry; values from VASP
&SYSTEM
  ibrav = 0, nat = 5, ntyp = 4
/
ATOMIC_SPECIES
Hf 178.49 Hf.upf
Al 26.98 Al.upf
As 74.92 As.upf
Br 79.90 Br.upf
CELL_PARAMETERS angstrom
4.865 0.000 0.000
0.000 4.865 0.000
0.000 0.000 4.808
ATOMIC_POSITIONS angstrom
Hf 0.000 0.000 0.000
Al 2.432 2.432 2.404
As 0.000 2.432 2.404
As 2.432 0.000 2.404
Br 2.432 2.432 0.000
! **Formation energy without anion corrections**: 0.37 eV per atom
! **Excess energy over the best structure of this formula in the dataset**: 0.341 eV/atom

=====

Record 11
! Tl2Hg4Pb | the Alexandria database | PBE-GGA | optimized geometry; values from VASP
&SYSTEM
  ibrav = 0, nat = 7, ntyp = 3
/
ATOMIC_SPECIES
Tl 204.38 Tl.upf
Hg 200.59 Hg.upf
Pb 207.20 Pb.upf
CELL_PARAMETERS angstrom
1.693 0.977 20.518
-1.693 0.977 20.518
0.000 -1.955 20.518
ATOMIC_POSITIONS angstrom
Tl 0.000 0.000 4.341
Tl 0.000 0.000 57.212
Hg 0.000 0.000 13.219
Hg 0.000 0.000 21.903
Hg 0.000 0.000 39.650
Hg 0.000 0.000 48.334
Pb 0.000 0.000 30.777
! **E_form**: 0.167 eV/f.u.

=====

Record 12
! Pr4TlPt | the Alexandria database | PBE-GGA | optimized geometry; values from VASP
&SYSTEM
  ibrav = 0, nat = 12, ntyp = 3
/
ATOMIC_SPECIES
Pr 140.91 Pr.upf
Tl 204.38 Tl.upf
Pt 195.08 Pt.upf
CELL_PARAMETERS angstrom
4.538 -7.128 0.000
4.538 7.128 0.000
-2.148 0.000 5.650
ATOMIC_POSITIONS angstrom
Pr 1.510 4.463 5.266
Pr 1.163 1.109 3.614
Pr 4.343 4.463 3.209
Pr 2.237 -1.109 0.789
Pr 4.691 1.109 4.861
Pr 2.584 -4.463 2.441
Pr 5.765 -1.109 2.036
Pr 5.417 -4.463 0.384
Tl 4.001 1.671 1.413
Tl 2.927 -1.671 4.238
Pt 4.001 7.101 1.413
Pt 2.927 -7.101 4.238
! **Excess energy over the best structure of this formula in the dataset**: 0.075 eV/atom
! **E_form**: -2.782 eV/f.u.

=====

Record 13
! NpSnSbPd | the Alexandria database | PBE-GGA | optimized geometry; values from VASP
&SYSTEM
  ibrav = 0, nat = 4, ntyp = 4
/
ATOMIC_SPECIES
Np 237.00 Np.upf
Sn 118.71 Sn.upf
Sb 121.76 Sb.upf
Pd 106.42 Pd.upf
CELL_PARAMETERS angstrom
0.000 3.580 3.580
3.580 0.000 3.580
3.580 3.580 0.000
ATOMIC_POSITIONS angstrom
Np 0.000 0.000 0.000
Sn 5.369 5.369 5.369
Sb 1.790 1.790 1.790
Pd 3.580 3.580 3.580
! **Formation energy without anion corrections**: -0.07 eV per atom

=====

Record 14
! IrRhAuI | the Alexandria database | PBE-GGA | optimized geometry; values from VASP
&SYSTEM
  ibrav = 0, nat = 4, ntyp = 4
/
ATOMIC_SPECIES
Ir 192.22 Ir.upf
Rh 102.91 Rh.upf
Au 196.97 Au.upf
I 126.90 I.upf
CELL_PARAMETERS angstrom
4.023 0.000 0.000
-2.011 3.484 0.000
0.000 0.000 5.655
ATOMIC_POSITIONS angstrom
Ir 0.000 0.000 0.000
Rh 0.000 0.000 2.834
Au 2.011 1.161 1.391
I 0.000 2.323 4.265
! **Formation energy without anion corrections**: 0.56 eV per atom
! **Excess energy over the best structure of this formula in the dataset**: 0.079 eV/atom

=====

Record 15
! Hf6Bi3N | the Alexandria database | PBE-GGA | optimized geometry; values from VASP
&SYSTEM
  ibrav = 0, nat = 20, ntyp = 3
/
ATOMIC_SPECIES
Hf 178.49 Hf.upf
Bi 208.98 Bi.upf
N 14.01 N.upf
CELL_PARAMETERS angstrom
5.970 -7.381 0.000
5.970 7.381 0.000
0.000 0.000 4.849
ATOMIC_POSITIONS angstrom
Hf 5.970 6.368 2.424
Hf 3.927 3.741 2.436
Hf 3.966 1.198 0.008
Hf 5.970 3.595 0.012
Hf 3.966 -1.198 2.432
Hf 8.013 3.741 2.436
Hf 3.927 -3.741 0.011
Hf 7.975 1.198 0.008
Hf 5.970 -3.595 2.436
Hf 7.975 -1.198 2.432
Hf 8.013 -3.741 0.011
Hf 5.970 -6.368 0.000
Bi 2.012 1.353 2.431
Bi 2.012 -1.353 0.006
Bi 5.970 1.229 2.432
Bi 5.970 -1.229 0.008
Bi 9.929 1.353 2.431
Bi 9.929 -1.353 0.006
N 5.970 4.248 2.436
N 5.970 -4.248 0.012
! **Formation energy without anion corrections**: -0.34 eV per atom

=====

Record 16
! Hg4PtCl2F | the Alexandria database | PBE-GGA | optimized geometry; values from VASP
&SYSTEM
  ibrav = 0, nat = 16, ntyp = 4
/
ATOMIC_SPECIES
Hg 200.59 Hg.upf
Pt 195.08 Pt.upf
Cl 35.45 Cl.upf
F 19.00 F.upf
CELL_PARAMETERS angstrom
6.343 -5.190 0.000
6.343 5.190 0.000
-5.665 0.000 6.333
ATOMIC_POSITIONS angstrom
Hg 3.485 2.612 3.181
Hg 0.703 2.612 6.318
Hg 0.811 0.281 3.603
Hg 3.644 -0.281 0.437
Hg 3.377 0.281 5.896
Hg 6.210 -0.281 2.729
Hg 6.317 -2.612 0.014
Hg 3.536 -2.612 3.152
Pt 6.343 0.000 0.000
Pt 3.510 0.000 3.166
Cl 0.000 0.000 0.000
Cl -2.833 0.000 3.166
Cl 3.171 2.595 0.000
Cl 0.339 -2.595 3.166
F 0.339 2.595 3.166
F 3.171 -2.595 0.000
! **Formation energy without anion corrections**: -0.37 eV per atom

=====

Record 17
! In2FeAu | the Alexandria database | PBE-GGA | optimized geometry; values from VASP
&SYSTEM
  ibrav = 0, nat = 4, ntyp = 3
/
ATOMIC_SPECIES
In 114.82 In.upf
Fe 55.84 Fe.upf
Au 196.97 Au.upf
CELL_PARAMETERS angstrom
3.489 0.000 0.000
0.000 4.316 0.000
-1.652 0.000 5.272
ATOMIC_POSITIONS angstrom
In 0.000 0.000 0.000
In 0.030 2.158 3.266
Fe 1.734 2.158 0.754
Au 1.770 0.000 2.357
! **Excess energy over the best structure of this formula in the dataset**: 0.028 eV/atom
! **E_form**: 0.475 eV/f.u.

=====

Record 18
! PrNd4Y4 | the Alexandria database | PBE-GGA | optimized geometry; values from VASP
&SYSTEM
  ibrav = 0, nat = 9, ntyp = 3
/
ATOMIC_SPECIES
Pr 140.91 Pr.upf
Nd 144.24 Nd.upf
Y 88.91 Y.upf
CELL_PARAMETERS angstrom
-5.457 5.457 2.572
5.457 -5.457 2.572
5.457 5.457 -2.572
ATOMIC_POSITIONS angstrom
Pr 0.000 0.000 0.000
Nd 3.631 3.631 0.000
Nd 1.826 -1.826 2.572
Nd -1.826 1.826 2.572
Nd 1.826 1.826 2.572
Y 3.654 0.000 0.000
Y 7.260 0.000 0.000
Y 0.000 3.654 0.000
Y 0.000 7.260 0.000
! **Excess energy over the best structure of this formula in the dataset**: 0.003 eV/atom
! **E_form**: 0.151 eV/f.u.

=====

Record 19
! Ho3In2Ir | the Alexandria database | PBE-GGA | optimized geometry; values from VASP
&SYSTEM
  ibrav = 0, nat = 12, ntyp = 3
/
ATOMIC_SPECIES
Ho 164.93 Ho.upf
In 114.82 In.upf
Ir 192.22 Ir.upf
CELL_PARAMETERS angstrom
2.522 -7.634 0.000
2.522 7.634 0.000
0.000 0.000 7.520
ATOMIC_POSITIONS angstrom
Ho 0.000 0.000 1.782
Ho 0.000 0.000 5.737
Ho 2.522 2.691 1.634
Ho 2.522 2.691 5.885
Ho 2.522 -2.691 1.634
Ho 2.522 -2.691 5.885
In 2.522 5.107 3.760
In 2.522 0.000 0.000
In 2.522 0.000 3.760
In 2.522 -5.107 3.760
Ir 2.522 5.341 0.000
Ir 2.522 -5.341 0.000
! **E_form**: -3.555 eV/f.u.

=====

Record 20
! Ta2NbCu2 | the Alexandria database | PBE-GGA | optimized geometry; values from VASP
&SYSTEM
  ibrav = 0, nat = 10, ntyp = 3
/
ATOMIC_SPECIES
Ta 180.95 Ta.upf
Nb 92.91 Nb.upf
Cu 63.55 Cu.upf
CELL_PARAMETERS angstrom
7.274 0.000 0.000
0.000 7.274 0.000
0.000 0.000 3.015
ATOMIC_POSITIONS angstrom
Ta 1.310 2.327 0.000
Ta 2.327 5.964 0.000
Ta 4.947 1.310 0.000
Ta 5.964 4.947 0.000
Nb 0.000 0.000 1.508
Nb 3.637 3.637 1.508
Cu 0.855 4.492 1.508
Cu 2.782 0.855 1.508
Cu 4.492 6.420 1.508
Cu 6.420 2.782 1.508
! **Excess energy over the best structure of this formula in the dataset**: 0.000 eV/atom
! **E_form**: 0.950 eV/f.u.

=====

no.,calculated volume (Å³/atom),uncorrected energy (eV/cell),size of the total moment (μB per cell)
1,15.8,-81.56,0.00
2,30.0,-74.92,0.00
3,29.0,-41.10,0.00
4,19.0,-15.36,0.00
5,21.1,-28.72,1.39
6,26.9,-60.38,0.00
7,25.8,-16.28,0.00
8,22.8,-30.88,0.48
9,17.3,-35.33,0.00
10,22.8,-22.82,0.00
11,29.1,-9.48,0.00
12,30.5,-60.61,0.00
13,22.9,-26.55,4.28
14,19.8,-18.81,0.00
15,21.4,-166.16,0.00
16,26.1,-31.58,0.00
17,19.8,-16.74,2.47
18,34.0,-49.56,0.00
19,24.1,-63.25,0.00
20,16.0,-82.03,0.00